Entry 1:
Entry from Alexandria: MnRe2O8 after structural relaxation (GGA+U). Values from VASP.

Computed properties:
Its crystal system is trigonal.

The structure in Quantum ESPRESSO input format:
```
&SYSTEM
  ibrav = 0, nat = 11, ntyp = 3
/
ATOMIC_SPECIES
Mn 54.94 Mn.upf
Re 186.21 Re.upf
O 16.00 O.upf
ATOMIC_POSITIONS crystal
Mn 0.000 0.000 0.000
Re 0.667 0.333 0.728
Re 0.333 0.667 0.272
O 0.333 0.667 0.531
O 0.667 0.333 0.469
O 0.172 0.344 0.185
O 0.828 0.172 0.815
O 0.344 0.172 0.815
O 0.656 0.828 0.185
O 0.172 0.828 0.185
O 0.828 0.656 0.815
CELL_PARAMETERS angstrom
-2.123 -4.867 2.666
5.493 -0.011 -2.266
2.427 2.158 5.873
```



Entry 2:
Entry from Alexandria: Mn2ReO6 after structural relaxation (GGA+U). Values from VASP.

Computed properties:
Its crystal system is tetragonal.

The structure in Quantum ESPRESSO input format:
```
&SYSTEM
  ibrav = 0, nat = 18, ntyp = 3
/
ATOMIC_SPECIES
Mn 54.94 Mn.upf
Re 186.21 Re.upf
O 16.00 O.upf
ATOMIC_POSITIONS crystal
Mn 0.500 0.500 0.337
Mn 0.500 0.500 0.663
Mn 0.000 0.000 0.163
Mn 0.000 0.000 0.837
Re 0.500 0.500 0.000
Re 0.000 0.000 0.500
O 0.695 0.695 0.153
O 0.695 0.695 0.847
O 0.713 0.713 0.500
O 0.787 0.213 0.000
O 0.805 0.195 0.347
O 0.805 0.195 0.653
O 0.195 0.805 0.347
O 0.195 0.805 0.653
O 0.213 0.787 0.000
O 0.287 0.287 0.500
O 0.305 0.305 0.153
O 0.305 0.305 0.847
CELL_PARAMETERS angstrom
-1.773 -4.080 -1.430
0.750 -1.813 4.241
-8.527 2.762 2.688
```



Entry 3:
Entry from Alexandria: MnReO3 after structural relaxation (GGA+U). Values from VASP.

Computed properties:
Its crystal system is cubic.

The structure in Quantum ESPRESSO input format:
```
&SYSTEM
  ibrav = 0, nat = 5, ntyp = 3
/
ATOMIC_SPECIES
Mn 54.94 Mn.upf
Re 186.21 Re.upf
O 16.00 O.upf
ATOMIC_POSITIONS crystal
Mn 0.000 0.000 0.000
Re 0.500 0.500 0.500
O 0.000 0.500 0.000
O 0.000 0.000 0.500
O 0.500 0.000 0.000
CELL_PARAMETERS angstrom
-0.493 -3.469 1.591
1.623 1.261 3.253
-3.454 1.088 1.301
```



Entry 4:
Entry from Alexandria: MnReO2 after structural relaxation (GGA+U). Values from VASP.

Computed properties:
Its crystal system is cubic.

The structure in Quantum ESPRESSO input format:
```
&SYSTEM
  ibrav = 0, nat = 4, ntyp = 3
/
ATOMIC_SPECIES
Re 186.21 Re.upf
Mn 54.94 Mn.upf
O 16.00 O.upf
ATOMIC_POSITIONS crystal
Re 0.500 0.500 0.500
Mn 0.000 0.000 0.000
O 0.250 0.250 0.250
O 0.750 0.750 0.750
CELL_PARAMETERS angstrom
-1.229 -1.003 3.575
-3.664 -1.262 0.526
-0.670 -3.757 0.855
```



Entry 5:
Entry from Alexandria: MnReO4 after structural relaxation (GGA+U). Values from VASP.

Computed properties:
Its crystal system is monoclinic.

The structure in Quantum ESPRESSO input format:
```
&SYSTEM
  ibrav = 0, nat = 12, ntyp = 3
/
ATOMIC_SPECIES
Mn 54.94 Mn.upf
Re 186.21 Re.upf
O 16.00 O.upf
ATOMIC_POSITIONS crystal
Mn 0.500 0.750 0.674
Mn 0.500 0.250 0.326
Re 0.000 0.750 0.167
Re 0.000 0.250 0.833
O 0.740 0.612 0.370
O 0.260 0.888 0.370
O 0.260 0.388 0.630
O 0.740 0.112 0.630
O 0.794 0.558 0.897
O 0.206 0.942 0.897
O 0.794 0.058 0.103
O 0.206 0.442 0.103
CELL_PARAMETERS angstrom
4.817 0.008 0.000
-0.258 5.153 0.000
0.000 0.000 5.746
```



Entry 6:
Entry from Alexandria: MnReO4 after structural relaxation (GGA+U). Values from VASP.

Computed properties:
Its crystal system is monoclinic.

The structure in Quantum ESPRESSO input format:
```
&SYSTEM
  ibrav = 0, nat = 12, ntyp = 3
/
ATOMIC_SPECIES
Mn 54.94 Mn.upf
Re 186.21 Re.upf
O 16.00 O.upf
ATOMIC_POSITIONS crystal
Mn 0.351 0.601 0.202
Mn 0.649 0.399 0.798
Re 0.098 0.848 0.695
Re 0.902 0.152 0.305
O 0.971 0.294 0.104
O 0.633 0.810 0.104
O 0.272 0.538 0.584
O 0.728 0.462 0.416
O 0.188 0.954 0.416
O 0.367 0.190 0.896
O 0.812 0.046 0.584
O 0.029 0.706 0.896
CELL_PARAMETERS angstrom
5.151 0.262 0.000
-0.509 4.814 0.000
-2.321 -2.538 5.724
```



| no. | magnetization (μB per formula unit) | E_tot (eV per atom) |
| --- | --- | --- |
| 1 | 5.00 | -8.250 |
| 2 | 9.00 | -7.905 |
| 3 | 8.00 | -6.986 |
| 4 | 4.06 | -7.495 |
| 5 | 4.13 | -8.225 |
| 6 | 4.02 | -8.164 |